Entry from Alexandria: a geometry-optimized Sn2HgBiPb structure (PBE).

Cell lengths 7.096, 4.668, 9.737 Å; angles 90.00, 94.89, 90.00 degrees
Fractional coordinates of all 10 atoms:
1 Sn 0.019 0.250 0.212
2 Sn 0.366 0.750 0.388
3 Sn 0.634 0.250 0.612
4 Sn 0.981 0.750 0.788
5 Hg 0.214 0.750 0.090
6 Hg 0.786 0.250 0.910
7 Bi 0.194 0.250 0.545
8 Bi 0.806 0.750 0.455
9 Pb 0.315 0.250 0.902
10 Pb 0.685 0.750 0.098

Calculated values
Size of the total moment ... 0.00 μB/f.u.
Crystal system ... monoclinic
DOS at the Fermi energy ... 1.8 states/eV/f.u.
Polymorph energy (0 for the lowest one) ... 0.000 eV/atom
DFT formation energy ... 93 meV/atom
DFT total energy ... -30.87 eV per cell


Entry from Alexandria: a geometry-optimized SnHgBi2Pb4 structure (PBE).

Cell lengths 7.497, 4.649, 8.115 Å; angles 90.00, 110.51, 90.00 degrees
Fractional coordinates of all 8 atoms:
1 Sn 0.000 0.000 0.000
2 Hg 0.000 0.500 0.500
3 Bi 0.500 0.000 0.500
4 Bi 0.500 0.500 0.000
5 Pb 0.238 0.500 0.243
6 Pb 0.241 0.000 0.751
7 Pb 0.759 0.000 0.249
8 Pb 0.762 0.500 0.757

Calculated values
Size of the total moment ... 0.00 μB/f.u.
Crystal system ... monoclinic
DOS at the Fermi energy ... 4.2 states/eV/f.u.
DFT formation energy ... 101 meV/atom
DFT total energy ... -26.09 eV per cell


Entry from Alexandria: a geometry-optimized SrHgBiPb2 structure (PBE).

Cell lengths 8.360, 8.360, 6.718 Å; angles 90.00, 90.00, 132.94 degrees
Fractional coordinates of all 10 atoms:
1 Sr 0.249 0.751 0.750
2 Sr 0.751 0.249 0.250
3 Hg 0.363 0.637 0.250
4 Hg 0.637 0.363 0.750
5 Bi 0.168 0.832 0.250
6 Bi 0.832 0.168 0.750
7 Pb 0.243 0.243 0.000
8 Pb 0.243 0.243 0.500
9 Pb 0.757 0.757 0.000
10 Pb 0.757 0.757 0.500

Calculated values
Size of the total moment ... 0.00 μB/f.u.
Crystal system ... orthorhombic
DOS at the Fermi energy ... 2.6 states/eV/f.u.
Polymorph energy (0 for the lowest one) ... 0.000 eV/atom
DFT formation energy ... -267 meV/atom
DFT total energy ... -29.23 eV per cell


Entry from Alexandria: a geometry-optimized SrHgBi2Pb2 structure (PBE).

Cell lengths 4.781, 10.448, 8.140 Å; angles 90.00, 90.00, 90.00 degrees
Fractional coordinates of all 12 atoms:
1 Sr 0.000 0.060 0.000
2 Sr 0.000 0.940 0.500
3 Hg 0.500 0.167 0.711
4 Hg 0.500 0.833 0.211
5 Bi 0.000 0.361 0.794
6 Bi 0.000 0.639 0.294
7 Bi 0.500 0.138 0.290
8 Bi 0.500 0.862 0.790
9 Pb 0.000 0.336 0.400
10 Pb 0.000 0.664 0.900
11 Pb 0.500 0.420 0.085
12 Pb 0.500 0.580 0.585

Calculated values
Size of the total moment ... 0.00 μB/f.u.
Crystal system ... orthorhombic
DOS at the Fermi energy ... 2.3 states/eV/f.u.
DFT formation energy ... -249 meV/atom
DFT total energy ... -37.31 eV per cell


Entry from Alexandria: a geometry-optimized SrHg2Bi2Pb2 structure (PBE).

Cell lengths 9.986, 9.986, 9.986 Å; angles 31.17, 31.17, 31.17 degrees
Fractional coordinates of all 7 atoms:
1 Sr 0.000 0.000 0.000
2 Hg 0.380 0.380 0.380
3 Hg 0.620 0.620 0.620
4 Bi 0.247 0.247 0.247
5 Bi 0.753 0.753 0.753
6 Pb 0.132 0.132 0.132
7 Pb 0.868 0.868 0.868

Calculated values
Size of the total moment ... 0.00 μB/f.u.
Crystal system ... trigonal
DOS at the Fermi energy ... 1.1 states/eV/f.u.
DFT formation energy ... -252 meV/atom
DFT total energy ... -19.23 eV per cell


Entry from Alexandria: a geometry-optimized Sr2Hg4Bi2Pb structure (PBE).

Cell lengths 7.701, 7.701, 7.701 Å; angles 124.40, 124.40, 82.53 degrees
Fractional coordinates of all 9 atoms:
1 Sr 0.250 0.750 0.500
2 Sr 0.750 0.250 0.500
3 Hg 0.209 0.209 0.419
4 Hg 0.209 0.791 0.000
5 Hg 0.791 0.209 0.000
6 Hg 0.791 0.791 0.581
7 Bi 0.227 0.227 0.000
8 Bi 0.773 0.773 0.000
9 Pb 0.500 0.500 0.000

Calculated values
Size of the total moment ... 0.00 μB/f.u.
Crystal system ... tetragonal
DOS at the Fermi energy ... 3.6 states/eV/f.u.
DFT formation energy ... -305 meV/atom
DFT total energy ... -18.79 eV per cell


Entry from Alexandria: a geometry-optimized SrHgBiPb2 structure (PBE).

Cell lengths 6.071, 6.071, 5.741 Å; angles 90.00, 90.00, 90.00 degrees
Fractional coordinates of all 5 atoms:
1 Sr 0.000 0.000 0.000
2 Hg 0.500 0.500 0.000
3 Bi 0.500 0.500 0.500
4 Pb 0.000 0.500 0.500
5 Pb 0.500 0.000 0.500

Calculated values
Size of the total moment ... 0.00 μB/f.u.
Crystal system ... tetragonal
DOS at the Fermi energy ... 3.5 states/eV/f.u.
Polymorph energy (0 for the lowest one) ... 0.438 eV/atom
DFT formation energy ... 171 meV/atom
DFT total energy ... -12.42 eV per cell


Entry from Alexandria: a geometry-optimized Sr3Hg2Bi4Pb2 structure (PBE).

Cell lengths 5.085, 5.085, 17.731 Å; angles 90.00, 90.00, 120.00 degrees
Fractional coordinates of all 11 atoms:
1 Sr 0.000 0.000 0.000
2 Sr 0.000 0.000 0.251
3 Sr 0.000 0.000 0.749
4 Hg 0.333 0.667 0.169
5 Hg 0.667 0.333 0.831
6 Bi 0.333 0.667 0.359
7 Bi 0.333 0.667 0.887
8 Bi 0.667 0.333 0.113
9 Bi 0.667 0.333 0.641
10 Pb 0.333 0.667 0.562
11 Pb 0.667 0.333 0.438

Calculated values
Size of the total moment ... 0.00 μB/f.u.
Crystal system ... trigonal
DOS at the Fermi energy ... 4.5 states/eV/f.u.
DFT formation energy ... -434 meV/atom
DFT total energy ... -33.36 eV per cell


Entry from Alexandria: a geometry-optimized Sr2Hg2Bi2Pb structure (PBE).

Cell lengths 9.368, 9.368, 9.368 Å; angles 34.16, 34.16, 34.16 degrees
Fractional coordinates of all 7 atoms:
1 Sr 0.128 0.128 0.128
2 Sr 0.872 0.872 0.872
3 Hg 0.435 0.435 0.435
4 Hg 0.565 0.565 0.565
5 Bi 0.271 0.271 0.271
6 Bi 0.729 0.729 0.729
7 Pb 0.000 0.000 0.000

Calculated values
Size of the total moment ... 0.00 μB/f.u.
Crystal system ... trigonal
DOS at the Fermi energy ... 5.8 states/eV/f.u.
DFT formation energy ... -316 meV/atom
DFT total energy ... -17.65 eV per cell


Entry from Alexandria: a geometry-optimized TbHgBiPb structure (PBE).

Cell lengths 5.478, 5.478, 5.478 Å; angles 60.00, 60.00, 60.00 degrees
Fractional coordinates of all 4 atoms:
1 Tb 0.000 0.000 0.000
2 Hg 0.750 0.750 0.750
3 Bi 0.250 0.250 0.250
4 Pb 0.500 0.500 0.500

Calculated values
Size of the total moment ... 0.00 μB/f.u.
Crystal system ... cubic
DOS at the Fermi energy ... 3.6 states/eV/f.u.
DFT formation energy ... -243 meV/atom
DFT total energy ... -13.49 eV per cell


Entry from Alexandria: a geometry-optimized HgBiTePb structure (PBE).

Cell lengths 5.531, 5.531, 5.531 Å; angles 60.00, 60.00, 60.00 degrees
Fractional coordinates of all 4 atoms:
1 Hg 0.000 0.000 0.000
2 Bi 0.250 0.250 0.250
3 Te 0.500 0.500 0.500
4 Pb 0.750 0.750 0.750

Calculated values
Size of the total moment ... 0.00 μB/f.u.
Crystal system ... cubic
DOS at the Fermi energy ... 3.0 states/eV/f.u.
Raw formation energy ... 0.06 eV/atom
DFT total energy ... -10.78 eV per cell


Entry from Alexandria: a geometry-optimized ThHgBiPb structure (PBE).

Cell lengths 4.674, 4.877, 4.995 Å; angles 90.00, 90.00, 90.00 degrees
Fractional coordinates of all 4 atoms:
1 Th 0.000 0.000 0.000
2 Hg 0.000 0.500 0.500
3 Bi 0.500 0.500 0.000
4 Pb 0.500 0.000 0.500

Calculated values
Size of the total moment ... 0.00 μB/f.u.
Crystal system ... orthorhombic
DOS at the Fermi energy ... 3.3 states/eV/f.u.
Polymorph energy (0 for the lowest one) ... 0.000 eV/atom
DFT formation energy ... -308 meV/atom
DFT total energy ... -16.54 eV per cell


Entry from Alexandria: a geometry-optimized ThHgBiPb structure (PBE).

Cell lengths 5.512, 5.512, 5.512 Å; angles 60.00, 60.00, 60.00 degrees
Fractional coordinates of all 4 atoms:
1 Th 0.000 0.000 0.000
2 Hg 0.750 0.750 0.750
3 Bi 0.250 0.250 0.250
4 Pb 0.500 0.500 0.500

Calculated values
Size of the total moment ... 0.00 μB/f.u.
Crystal system ... cubic
DOS at the Fermi energy ... 4.3 states/eV/f.u.
Polymorph energy (0 for the lowest one) ... 0.174 eV/atom
DFT formation energy ... -134 meV/atom
DFT total energy ... -15.85 eV per cell


Entry from Alexandria: a geometry-optimized TlHgBiPb structure (PBE).

Cell lengths 3.814, 3.814, 8.520 Å; angles 90.00, 90.00, 90.00 degrees
Fractional coordinates of all 4 atoms:
1 Tl 0.000 0.000 0.000
2 Hg 0.500 0.500 0.756
3 Bi 0.500 0.500 0.269
4 Pb 0.000 0.000 0.506

Calculated values
Size of the total moment ... 0.00 μB/f.u.
Crystal system ... tetragonal
DOS at the Fermi energy ... 1.2 states/eV/f.u.
Polymorph energy (0 for the lowest one) ... 0.000 eV/atom
DFT formation energy ... 0 meV/atom
DFT total energy ... -10.26 eV per cell


Entry from Alexandria: a geometry-optimized Tl3HgBi2Pb3 structure (PBE).

Cell lengths 9.664, 9.664, 3.479 Å; angles 90.00, 90.00, 120.00 degrees
Fractional coordinates of all 9 atoms:
1 Tl 0.000 0.714 0.000
2 Tl 0.286 0.286 0.000
3 Tl 0.714 0.000 0.000
4 Hg 0.000 0.000 0.500
5 Bi 0.333 0.667 0.000
6 Bi 0.667 0.333 0.000
7 Pb 0.000 0.372 0.500
8 Pb 0.372 0.000 0.500
9 Pb 0.628 0.628 0.500

Calculated values
Size of the total moment ... 0.00 μB/f.u.
Crystal system ... hexagonal
DOS at the Fermi energy ... 3.4 states/eV/f.u.
DFT formation energy ... 9 meV/atom
DFT total energy ... -26.20 eV per cell


Entry from Alexandria: a geometry-optimized TlHgBi2Pb structure (PBE).

Cell lengths 5.891, 5.891, 6.056 Å; angles 90.00, 90.00, 90.00 degrees
Fractional coordinates of all 5 atoms:
1 Tl 0.000 0.000 0.000
2 Hg 0.500 0.500 0.500
3 Bi 0.000 0.500 0.000
4 Bi 0.500 0.000 0.000
5 Pb 0.000 0.000 0.500

Calculated values
Size of the total moment ... 0.00 μB/f.u.
Crystal system ... tetragonal
DOS at the Fermi energy ... 4.9 states/eV/f.u.
DFT formation energy ... 631 meV/atom
DFT total energy ... -10.99 eV per cell


Entry from Alexandria: a geometry-optimized Tl2HgBiPb structure (PBE).

Cell lengths 8.805, 8.805, 6.269 Å; angles 90.00, 90.00, 137.88 degrees
Fractional coordinates of all 10 atoms:
1 Tl 0.248 0.248 0.000
2 Tl 0.248 0.248 0.500
3 Tl 0.752 0.752 0.000
4 Tl 0.752 0.752 0.500
5 Hg 0.354 0.646 0.750
6 Hg 0.646 0.354 0.250
7 Bi 0.254 0.746 0.250
8 Bi 0.746 0.254 0.750
9 Pb 0.170 0.830 0.750
10 Pb 0.830 0.170 0.250

Calculated values
Size of the total moment ... 0.00 μB/f.u.
Crystal system ... orthorhombic
DOS at the Fermi energy ... 2.5 states/eV/f.u.
DFT formation energy ... 126 meV/atom
DFT total energy ... -23.98 eV per cell


Entry from Alexandria: a geometry-optimized TlHg2BiPb structure (PBE).

Cell lengths 7.986, 7.986, 9.649 Å; angles 90.00, 90.00, 148.43 degrees
Fractional coordinates of all 10 atoms:
1 Tl 0.163 0.837 0.750
2 Tl 0.837 0.163 0.250
3 Hg 0.197 0.803 0.093
4 Hg 0.197 0.803 0.407
5 Hg 0.803 0.197 0.593
6 Hg 0.803 0.197 0.907
7 Bi 0.481 0.519 0.750
8 Bi 0.519 0.481 0.250
9 Pb 0.000 0.000 0.000
10 Pb 0.000 0.000 0.500

Calculated values
Size of the total moment ... 0.00 μB/f.u.
Crystal system ... orthorhombic
DOS at the Fermi energy ... 1.8 states/eV/f.u.
DFT formation energy ... 59 meV/atom
DFT total energy ... -20.53 eV per cell


Entry from Alexandria: a geometry-optimized Tl2HgBiPb4 structure (PBE).

Cell lengths 6.189, 3.493, 11.560 Å; angles 90.00, 99.64, 90.00 degrees
Fractional coordinates of all 8 atoms:
1 Tl 0.000 0.000 0.000
2 Tl 0.500 0.500 0.000
3 Hg 0.000 0.500 0.500
4 Bi 0.500 0.000 0.500
5 Pb 0.247 0.000 0.742
6 Pb 0.248 0.500 0.257
7 Pb 0.752 0.500 0.743
8 Pb 0.753 0.000 0.258

Calculated values
Size of the total moment ... 0.00 μB/f.u.
Crystal system ... monoclinic
DOS at the Fermi energy ... 4.8 states/eV/f.u.
DFT formation energy ... 23 meV/atom
DFT total energy ... -23.56 eV per cell


Entry from Alexandria: a geometry-optimized Tl4HgBi2Pb2 structure (PBE).

Cell lengths 6.529, 7.091, 7.190 Å; angles 102.31, 113.20, 91.30 degrees
Fractional coordinates of all 9 atoms:
1 Tl 0.141 0.167 0.248
2 Tl 0.310 0.633 0.611
3 Tl 0.690 0.367 0.389
4 Tl 0.859 0.833 0.752
5 Hg 0.500 0.000 0.000
6 Bi 0.143 0.247 0.750
7 Bi 0.857 0.753 0.250
8 Pb 0.292 0.642 0.117
9 Pb 0.708 0.358 0.883

Calculated values
Size of the total moment ... 0.00 μB/f.u.
Crystal system ... triclinic
DOS at the Fermi energy ... 4.4 states/eV/f.u.
DFT formation energy ... 22 meV/atom
DFT total energy ... -24.75 eV per cell